AlFe2B, relaxed, DFT PBE; DOS(E_F) = 0.88 states/eV/atom; magnetization = 1.23 μB per formula unit; E_tot = -0.4994 Ry per atom; ΔE_f = 0.042 eV/atom; space-group type = Fm-3m; offset from the most stable computed form = 257.1 meV per atom
1.0
-3.463 0.220 1.558
-3.089 -0.035 -2.218
-2.292 -3.036 -0.021
Fe B Al
2 1 1
Cartesian
-2.211 -0.713 -0.170 Fe
-6.633 -2.138 -0.511 Fe
0.000 0.000 0.000 B
-4.422 -1.425 -0.340 Al